1.
This record from Alexandria via LeMat-Bulk describes crystalline TlAsPO2 at its relaxed geometry. The functional is PBE-GGA.

Summary:
Electronic total energy (eV per atom): -4.742
Formation energy (no corrections) (meV/atom): -274.0
DOS at the Fermi energy (states/eV per atom): 0.411
Excess energy over the best structure of this formula in the dataset (eV per atom): 0.000
Mass density (kg/m3): 7606

Geometry as CIF:
```
data_TlAsPO2
_chemical_formula_sum 'Tl1 As1 P1 O2'
_space_group_name_H-M_alt 'P 4/m m m'
_space_group_IT_number 123
_space_group_name_Hall '-P 4 2'
_cell_length_a 3.868
_cell_length_b 3.868
_cell_length_c 4.995
_cell_angle_alpha 90.00
_cell_angle_beta 90.00
_cell_angle_gamma 90.00
loop_
_atom_site_label
_atom_site_type_symbol
_atom_site_fract_x
_atom_site_fract_y
_atom_site_fract_z
_atom_site_occupancy
Tl1 Tl 0.000 0.000 0.000 1
As1 As 0.500 0.500 0.500 1
P1 P 0.500 0.500 0.000 1
O1 O 0.000 0.500 0.500 1
```

2.
This record from Alexandria via LeMat-Bulk describes crystalline AlHgMo4 at its relaxed geometry. The functional is PBE-GGA.

Summary:
Electronic total energy (eV per atom): -7.401
DOS at the Fermi energy (states/eV per atom): 1.267
Mass density (kg/m3): 9679

Geometry as CIF:
```
data_AlHgMo4
_chemical_formula_sum 'Al4 Hg4 Mo16'
_space_group_name_H-M_alt 'F -4 3 m'
_space_group_IT_number 216
_space_group_name_Hall 'F -4 2 3'
_cell_length_a 7.486
_cell_length_b 7.486
_cell_length_c 7.486
_cell_angle_alpha 90.00
_cell_angle_beta 90.00
_cell_angle_gamma 90.00
loop_
_atom_site_label
_atom_site_type_symbol
_atom_site_fract_x
_atom_site_fract_y
_atom_site_fract_z
_atom_site_occupancy
Al1 Al 0.000 0.000 0.000 1
Hg1 Hg 0.250 0.250 0.750 1
Mo1 Mo 0.124 0.124 0.376 1
```

3.
This record from Alexandria via LeMat-Bulk describes crystalline RbSrNb at its relaxed geometry. The functional is PBE-GGA.

Summary:
Electronic total energy (eV per atom): -2.919
DOS at the Fermi energy (states/eV per atom): 1.004
Excess energy over the best structure of this formula in the dataset (eV per atom): 0.918
Mass density (kg/m3): 3434

Geometry as CIF:
```
data_RbSrNb
_chemical_formula_sum 'Rb2 Sr2 Nb2'
_space_group_name_H-M_alt 'P 63/m m c'
_space_group_IT_number 194
_space_group_name_Hall '-P 6c 2c'
_cell_length_a 6.3482
_cell_length_b 6.3482
_cell_length_c 7.3718
_cell_angle_alpha 90.00
_cell_angle_beta 90.00
_cell_angle_gamma 120.00
loop_
_atom_site_label
_atom_site_type_symbol
_atom_site_fract_x
_atom_site_fract_y
_atom_site_fract_z
_atom_site_occupancy
Rb1 Rb 0.0000 0.0000 0.0000 1
Sr1 Sr 0.3333 0.6667 0.2500 1
Nb1 Nb 0.3333 0.6667 0.7500 1
```

Q: Among the records above, which one has the highest DOS at the Fermi energy?
A: AlHgMo4

Q: Look up the mass density of the second one.
A: 9679 kg/m3